No. 1
Material: AlTl4Au
Method: DFT, PBE
State: relaxed

It has space group F-43m (No. 216), with a = 8.924 Å, b = 8.924 Å, c = 8.924 Å, α = 90.00°, β = 90.00° and γ = 90.00°. Symmetry generates all atoms from Al at (0.000, 0.000, 0.000), Tl at (0.125, 0.125, 0.375) and Au at (0.250, 0.250, 0.750).

The total magnetization is 0.0000 μB/atom. The total DFT energy (no corrections) is -2.33 eV/atom. The volume is 29.61 Å³/atom. The calculation puts the formation energy at 2.53 eV/f.u.

No. 2
Material: B3BrF
Method: DFT, PBE
State: relaxed

It has space group Pm-3m (No. 221), with a = 4.307 Å, b = 4.307 Å, c = 4.307 Å, α = 90.00°, β = 90.00° and γ = 90.00°. Symmetry generates all atoms from B at (0.000, 0.000, 0.500), Br at (0.500, 0.500, 0.500) and F at (0.000, 0.000, 0.000).

The value obtained for the energy above the lowest structure with this stoichiometry is 0.00 eV per formula unit. The total magnetization is 0.0000 μB/atom. The total DFT energy (no corrections) is -2.67 eV/atom. The volume is 15.98 Å³/atom. The value obtained for the formation energy (no corrections) is 2.05 eV per atom.

No. 3
Material: Pm4CoPt2
Method: DFT, PBE
State: relaxed

It has space group I4/mmm (No. 139), with a = 5.028 Å, b = 5.028 Å, c = 14.840 Å, α = 90.00°, β = 90.00° and γ = 90.00°. Symmetry generates all atoms from Pm at (0.000, 0.000, 0.186), Pm at (0.000, 0.500, 0.000), Co at (0.000, 0.000, 0.000) and Pt at (0.000, 0.000, 0.373).

The value obtained for the energy above the lowest structure with this stoichiometry is 1.43 eV per formula unit. The total magnetization is 0.0000 μB/atom. The total DFT energy (no corrections) is -5.90 eV/atom. The volume is 26.79 Å³/atom. The calculation puts the formation energy at -3.10 eV/f.u.

No. 4
Material: YZrZnCo2
Method: DFT, PBE
State: relaxed

It has space group P4/mmm (No. 123), with a = 4.622 Å, b = 4.622 Å, c = 5.302 Å, α = 90.00°, β = 90.00° and γ = 90.00°. Symmetry generates all atoms from Y at (0.000, 0.000, 0.000), Zr at (0.000, 0.000, 0.500), Zn at (0.500, 0.500, 0.500) and Co at (0.000, 0.500, 0.000).

The total magnetization is 0.4220 μB/atom. The total DFT energy (no corrections) is -4.56 eV/atom. The volume is 22.66 Å³/atom. The calculation puts the formation energy at 7.68 eV/f.u.

No. 5
Material: PrScTlCu
Method: DFT, PBE
State: relaxed

It has space group F-43m (No. 216), with a = 7.298 Å, b = 7.298 Å, c = 7.298 Å, α = 90.00°, β = 90.00° and γ = 90.00°. Symmetry generates all atoms from Pr at (0.000, 0.000, 0.000), Sc at (0.000, 0.000, 0.500), Tl at (0.250, 0.250, 0.250) and Cu at (0.250, 0.250, 0.750).

The total magnetization is 0.0762 μB/atom. The total DFT energy (no corrections) is -4.57 eV/atom. The volume is 24.29 Å³/atom. The calculation puts the formation energy at -0.71 eV/f.u.

No. 6
Material: PmZrH2
Method: DFT, PBE
State: relaxed

It has space group R-3m (No. 166, hexagonal axes), with a = 3.3892 Å, b = 3.3892 Å, c = 17.0453 Å, α = 90.00°, β = 90.00° and γ = 120.00°. Symmetry generates all atoms from Pm at (0.0000, 0.0000, 0.0000), Zr at (0.0000, 0.0000, 0.5000) and H at (0.0000, 0.0000, 0.2299).

The total magnetization is 0.0000 μB/atom. The total DFT energy (no corrections) is -5.29 eV/atom. The volume is 14.13 Å³/atom.

No. 7
Material: ScSe3
Method: DFT, PBE
State: relaxed

It has space group I4/mmm (No. 139), with a = 3.806 Å, b = 3.806 Å, c = 12.540 Å, α = 90.00°, β = 90.00° and γ = 90.00°. Symmetry generates all atoms from Sc at (0.000, 0.000, 0.000), Se at (0.000, 0.000, 0.500) and Se at (0.000, 0.500, 0.250).

The total magnetization is 0.0000 μB/atom. The total DFT energy (no corrections) is -4.85 eV/atom. The volume is 22.71 Å³/atom. The value obtained for the formation energy (no corrections) is -0.66 eV per atom.

No. 8
Material: CaSeO4F
Method: DFT, PBE
State: relaxed

It has space group C2/m (No. 12), with a = 9.453 Å, b = 7.486 Å, c = 6.956 Å, α = 90.00°, β = 105.13° and γ = 90.00°. Symmetry generates all atoms from Ca at (0.193, 0.000, 0.118), Se at (0.147, 0.500, 0.272), O at (0.035, 0.500, 0.769), O at (0.197, 0.323, 0.158), O at (0.223, 0.500, 0.515) and F at (0.026, 0.000, 0.825).

The total magnetization is 0.1493 μB/atom. The total DFT energy (no corrections) is -5.33 eV/atom. The volume is 16.97 Å³/atom. The value obtained for the formation energy (no corrections) is -1.45 eV per atom.

> total DFT energy (no corrections) of number 1 (AlTl4Au)?

-2.33 eV/atom